# 1
# BaTlIn2

Crystalline BaTlIn2 at its relaxed geometry (PBEsol, Alexandria).

- Formation energy from the elements: -8.0 kcal/mol of atoms
- SG: No. 160
- Excess energy over the best structure of this formula in the dataset: 0 meV per atom
- Size of the total moment: 0.00 μB per atom

```
BaTlIn2
1.0
4.922 0.000 0.000
2.461 4.263 0.000
2.461 1.421 6.036
Tl Ba In
1 1 2
direct
0.476 0.476 0.571
0.251 0.251 0.248
0.028 0.028 0.917
0.741 0.741 0.777
```

---

# 2
# BaIn2W

Crystalline BaIn2W at its relaxed geometry (PBEsol, Alexandria).

- Formation energy from the elements: 8.7 kcal/mol of atoms
- SG: No. 47
- Size of the total moment: 0.00 μB per atom

```
BaIn2W
1.0
-0.242 -1.252 -2.760
3.478 -1.093 0.190
-2.537 -7.447 3.600
Ba In W
1 2 1
direct
0.500 0.500 0.000
0.000 0.000 0.304
0.000 0.000 0.696
0.500 0.500 0.500
```

---

- Which of these has the lowest formation energy from the elements?
  BaTlIn2

---

- What is the formula in the second record?
  BaIn2W

---

- size of the total moment of number 1 (BaTlIn2)?
  0.00 μB per atom